Sr3C: optimized geometry, PBE.

```
data_Sr3C
_cell_length_a 3.745
_cell_length_b 7.675
_cell_length_c 10.294
_cell_angle_alpha 90.00
_cell_angle_beta 90.00
_cell_angle_gamma 90.00
_space_group_name_H-M_alt 'P 1'
_space_group_IT_number 1
loop_
_space_group_symop_operation_xyz
'x,y,z'
loop_
_atom_site_label
_atom_site_type_symbol
_atom_site_fract_x
_atom_site_fract_y
_atom_site_fract_z
Sr1 Sr 0.250 0.031 0.192
Sr2 Sr 0.250 0.250 0.481
Sr3 Sr 0.250 0.469 0.192
Sr4 Sr 0.750 0.531 0.808
Sr5 Sr 0.750 0.750 0.519
Sr6 Sr 0.750 0.969 0.808
C1 C 0.250 0.750 0.708
C2 C 0.750 0.250 0.292
```

Results
As for the total moment: 0.00 μB per atom. As for the density of states at the Fermi level: 0.5885 states/eV per atom. The calculation puts the formation energy at 406.0 meV per atom. The energy above the most stable polymorph in this dataset comes out at 0.005 eV per atom. As for the space group: Pmmn, No. 59.

***

Sr4C3: optimized geometry, PBE.

```
data_Sr4C3
_cell_length_a 5.380
_cell_length_b 5.380
_cell_length_c 6.167
_cell_angle_alpha 90.00
_cell_angle_beta 90.00
_cell_angle_gamma 120.00
_space_group_name_H-M_alt 'P 1'
_space_group_IT_number 1
loop_
_space_group_symop_operation_xyz
'x,y,z'
loop_
_atom_site_label
_atom_site_type_symbol
_atom_site_fract_x
_atom_site_fract_y
_atom_site_fract_z
Sr1 Sr 0.000 0.000 0.213
Sr2 Sr 0.000 0.000 0.787
Sr3 Sr 0.333 0.667 0.500
Sr4 Sr 0.667 0.333 0.500
C1 C 0.000 0.500 0.000
C2 C 0.500 0.000 0.000
C3 C 0.500 0.500 0.000
```

Results
As for the total moment: 0.00 μB per atom. As for the density of states at the Fermi level: 0.8446 states/eV per atom. The calculation puts the formation energy at 1976.6 meV per atom. The energy above the most stable polymorph in this dataset comes out at 0.978 eV per atom. As for the space group: P6/mmm, No. 191.

***

Number 1: uncorrected energy -25.29 eV per cell. Number 2: uncorrected energy -20.56 eV per cell.